1.
Below is IrOs2Rh after structural relaxation, with properties calculated at the PBEsol level.

The space group is P4/mmm (No. 123) and the conventional cell measures 2.6807, 2.6807 and 7.7014 Å, with angles of 90.00, 90.00 and 90.00 degrees. The distinct sites, in fractional coordinates, are Ir at (0.0000, 0.0000, 0.0000), Os at (0.5000, 0.5000, 0.2504) and Rh at (0.0000, 0.0000, 0.5000).

The value obtained for the offset from the most stable computed form is 42 meV/atom. The value obtained for the calculated total energy is -10.52 eV/atom. As for the magnetization: 0.000 μB/atom. The energy relative to the elements comes out at 0.079 eV per atom. For the volume, the calculation gives 55.3 Å³/f.u.



2.
Below is Ir2OsRh after structural relaxation, with properties calculated at the PBEsol level.

The space group is I-4m2 (No. 119) and the conventional cell measures 3.8056, 3.8056 and 7.6530 Å, with angles of 90.00, 90.00 and 90.00 degrees. The distinct sites, in fractional coordinates, are Ir at (0.0000, 0.0000, 0.0000), Ir at (0.0000, 0.5000, 0.2500), Os at (0.0000, 0.5000, 0.7500) and Rh at (0.0000, 0.0000, 0.5000).

The value obtained for the offset from the most stable computed form is 35 meV/atom. The value obtained for the calculated total energy is -9.98 eV/atom. As for the magnetization: 0.000 μB/atom. The energy relative to the elements comes out at 0.024 eV per atom. For the volume, the calculation gives 55.4 Å³/f.u.



3.
Below is IrOsRh2 after structural relaxation, with properties calculated at the PBEsol level.

The space group is P4mm (No. 99) and the conventional cell measures 2.6898, 2.6898 and 7.6179 Å, with angles of 90.00, 90.00 and 90.00 degrees. The distinct sites, in fractional coordinates, are Ir at (0.0000, 0.0000, 0.0000), Os at (0.5000, 0.5000, 0.2471), Rh at (0.0000, 0.0000, 0.4935) and Rh at (0.5000, 0.5000, 0.7470).

The value obtained for the offset from the most stable computed form is 6 meV/atom. The value obtained for the calculated total energy is -9.57 eV/atom. As for the magnetization: 0.000 μB/atom. The energy relative to the elements comes out at 0.004 eV per atom. For the volume, the calculation gives 55.1 Å³/f.u.



4.
Below is IrOsRh2 after structural relaxation, with properties calculated at the PBEsol level.

The space group is R3m (No. 160, hexagonal axes) and the conventional cell measures 2.6893, 2.6893 and 26.3482 Å, with angles of 90.00, 90.00 and 120.00 degrees. The distinct sites, in fractional coordinates, are Ir at (0.0000, 0.0000, 0.0000), Os at (0.0000, 0.0000, 0.2507), Rh at (0.0000, 0.0000, 0.5017) and Rh at (0.0000, 0.0000, 0.7510).

The value obtained for the offset from the most stable computed form is 12 meV/atom. The value obtained for the calculated total energy is -9.57 eV/atom. As for the magnetization: 0.000 μB/atom. The energy relative to the elements comes out at 0.010 eV per atom. For the volume, the calculation gives 55.0 Å³/f.u.



5.
Below is IrOs2Rh after structural relaxation, with properties calculated at the PBEsol level.

The space group is Cm (No. 8) and the conventional cell measures 8.9526, 2.6872 and 4.6737 Å, with angles of 90.00, 99.82 and 90.00 degrees. The distinct sites, in fractional coordinates, are Ir at (0.0000, 0.0000, 0.0000), Os at (0.0057, 0.5000, 0.5060), Os at (0.2526, 0.0000, 0.7507) and Rh at (0.2552, 0.5000, 0.2560).

The value obtained for the offset from the most stable computed form is 13 meV/atom. The value obtained for the calculated total energy is -10.55 eV/atom. As for the magnetization: 0.000 μB/atom. The energy relative to the elements comes out at 0.049 eV per atom. For the volume, the calculation gives 55.4 Å³/f.u.



6.
Below is Ir2OsRh after structural relaxation, with properties calculated at the PBEsol level.

The space group is R-3m (No. 166, hexagonal axes) and the conventional cell measures 2.6984, 2.6984 and 26.4190 Å, with angles of 90.00, 90.00 and 120.00 degrees. The distinct sites, in fractional coordinates, are Ir at (0.0000, 0.0000, 0.2492), Os at (0.0000, 0.0000, 0.5000) and Rh at (0.0000, 0.0000, 0.0000).

The value obtained for the offset from the most stable computed form is 10 meV/atom. The value obtained for the calculated total energy is -10.00 eV/atom. As for the magnetization: 0.000 μB/atom. The energy relative to the elements comes out at -0.002 eV per atom. For the volume, the calculation gives 55.5 Å³/f.u.



7.
Below is Ir2OsRh after structural relaxation, with properties calculated at the PBEsol level.

The space group is P4mm (No. 99) and the conventional cell measures 2.6945, 2.6945 and 7.6645 Å, with angles of 90.00, 90.00 and 90.00 degrees. The distinct sites, in fractional coordinates, are Ir at (0.0000, 0.0000, 0.0000), Ir at (0.5000, 0.5000, 0.2535), Os at (0.0000, 0.0000, 0.5002) and Rh at (0.5000, 0.5000, 0.7471).

The value obtained for the offset from the most stable computed form is 34 meV/atom. The value obtained for the calculated total energy is -9.98 eV/atom. As for the magnetization: 0.000 μB/atom. The energy relative to the elements comes out at 0.022 eV per atom. For the volume, the calculation gives 55.6 Å³/f.u.



8.
Below is Ir2OsRh after structural relaxation, with properties calculated at the PBEsol level.

The space group is Pmmm (No. 47) and the conventional cell measures 2.6960, 3.8118 and 5.3949 Å, with angles of 90.00, 90.00 and 90.00 degrees. The distinct sites, in fractional coordinates, are Ir at (0.0000, 0.0000, 0.2477), Os at (0.5000, 0.5000, 0.0000) and Rh at (0.5000, 0.5000, 0.5000).

The value obtained for the offset from the most stable computed form is 0 meV/atom. The value obtained for the calculated total energy is -10.01 eV/atom. As for the magnetization: 0.000 μB/atom. The energy relative to the elements comes out at -0.012 eV per atom. For the volume, the calculation gives 55.4 Å³/f.u.



9.
Below is IrOs2Rh after structural relaxation, with properties calculated at the PBEsol level.

The space group is Cmmm (No. 65) and the conventional cell measures 5.3598, 7.6979 and 2.6818 Å, with angles of 90.00, 90.00 and 90.00 degrees. The distinct sites, in fractional coordinates, are Ir at (0.0000, 0.0000, 0.0000), Os at (0.2500, 0.2500, 0.5000) and Rh at (0.0000, 0.5000, 0.0000).

The value obtained for the offset from the most stable computed form is 34 meV/atom. The value obtained for the calculated total energy is -10.53 eV/atom. As for the magnetization: 0.000 μB/atom. The energy relative to the elements comes out at 0.071 eV per atom. For the volume, the calculation gives 55.3 Å³/f.u.



10.
Below is Ir2OsRh after structural relaxation, with properties calculated at the PBEsol level.

The space group is C2/m (No. 12) and the conventional cell measures 8.9594, 2.6906 and 4.6692 Å, with angles of 90.00, 99.87 and 90.00 degrees. The distinct sites, in fractional coordinates, are Ir at (0.2476, 0.0000, 0.2469), Os at (0.0000, 0.5000, 0.0000) and Rh at (0.0000, 0.0000, 0.5000).

The value obtained for the offset from the most stable computed form is 17 meV/atom. The value obtained for the calculated total energy is -10.00 eV/atom. As for the magnetization: 0.000 μB/atom. The energy relative to the elements comes out at 0.005 eV per atom. For the volume, the calculation gives 55.4 Å³/f.u.



11.
Below is IrOs2Rh after structural relaxation, with properties calculated at the PBEsol level.

The space group is R-3m (No. 166, hexagonal axes) and the conventional cell measures 2.6912, 2.6912 and 26.4926 Å, with angles of 90.00, 90.00 and 120.00 degrees. The distinct sites, in fractional coordinates, are Ir at (0.0000, 0.0000, 0.0000), Os at (0.0000, 0.0000, 0.2498) and Rh at (0.0000, 0.0000, 0.5000).

The value obtained for the offset from the most stable computed form is 21 meV/atom. The value obtained for the calculated total energy is -10.54 eV/atom. As for the magnetization: 0.000 μB/atom. The energy relative to the elements comes out at 0.058 eV per atom. For the volume, the calculation gives 55.4 Å³/f.u.



12.
Below is IrOs2Ru after structural relaxation, with properties calculated at the PBEsol level.

The space group is P4/mmm (No. 123) and the conventional cell measures 2.6850, 2.6850 and 7.6626 Å, with angles of 90.00, 90.00 and 90.00 degrees. The distinct sites, in fractional coordinates, are Ir at (0.0000, 0.0000, 0.0000), Os at (0.5000, 0.5000, 0.2528) and Ru at (0.0000, 0.0000, 0.5000).

The value obtained for the offset from the most stable computed form is 18 meV/atom. The value obtained for the calculated total energy is -11.03 eV/atom. As for the magnetization: 0.000 μB/atom. The energy relative to the elements comes out at 0.074 eV per atom. For the volume, the calculation gives 55.2 Å³/f.u.